No. 1
YCdInCu | PBE | optimized geometry

Space group ... No. 216
M_tot ... 0.00 μB per formula unit
Total energy ... -0.13614 hartree per atom

abc: 4.9057 4.9057 4.9057
angles: 60.00 60.00 60.00
Closest atoms and distances in Å follow each position.
Element x y z (fractional)
Cu  0.7500  0.7500  0.7500  4 Y 3.00, 4 In 3.00
Cd  0.2500  0.2500  0.2500  4 Y 3.00, 4 In 3.00
In  0.0000  0.0000  0.0000  4 Cu 3.00, 4 Cd 3.00
Y  0.5000  0.5000  0.5000  4 Cu 3.00, 4 Cd 3.00

No. 2
YCdInCu | PBE | optimized geometry

Space group ... No. 216
M_tot ... 0.00 μB per formula unit
Total energy ... -0.13253 hartree per atom

abc: 4.8832 4.8832 4.8832
angles: 60.00 60.00 60.00
Closest atoms and distances in Å follow each position.
Element x y z (fractional)
Cd  0.5000  0.5000  0.5000  4 Y 2.99, 4 Cu 2.99
In  0.0000  0.0000  0.0000  4 Y 2.99, 4 Cu 2.99
Y  0.2500  0.2500  0.2500  4 In 2.99, 4 Cd 2.99
Cu  0.7500  0.7500  0.7500  4 In 2.99, 4 Cd 2.99